DFT (PBE-GGA) results for a geometry-optimized PuTlCuNi structure.

Output
Symmetry: No. 216
Total magnetization, μB per cell: 5.10
Energy relative to the elements, eV per atom: 0.111
DOS at the Fermi energy, states/eV/f.u.: 14.0

Cell: 4.734 4.734 4.734 Å, 60.00 60.00 60.00°
Fractional positions:
Ni1 0.750 0.750 0.750
Tl1 0.500 0.500 0.500
Cu1 0.250 0.250 0.250
Pu1 0.000 0.000 0.000